No. 1
! PBE-GGA Ac3In2Pb3, relaxed; values from VASP
! * calculated total energy: -0.1476 hartree per atom
! * ΔE_f: -401 meV per atom
! * symmetry: Cmcm, No. 63
&SYSTEM
  ibrav = 0, nat = 16, ntyp = 3
/
ATOMIC_SPECIES
Ac 227.00 Ac.upf
In 114.82 In.upf
Pb 207.20 Pb.upf
ATOMIC_POSITIONS crystal
Ac 0.6460 0.2920 0.4692
Ac 0.5440 0.0879 0.7500
Ac 0.6460 0.2920 0.0308
Ac 0.4560 0.9121 0.2500
Ac 0.3540 0.7080 0.5308
Ac 0.3540 0.7080 0.9692
In 0.1830 0.3660 0.1571
In 0.8170 0.6340 0.6571
In 0.1830 0.3660 0.3429
In 0.8170 0.6340 0.8429
Pb 0.0557 0.1113 0.9066
Pb 0.2572 0.5144 0.7500
Pb 0.0557 0.1113 0.5934
Pb 0.9443 0.8887 0.4066
Pb 0.9443 0.8887 0.0934
Pb 0.7428 0.4856 0.2500
CELL_PARAMETERS angstrom
5.3017 0.0000 0.0000
-2.6508 6.1831 0.0000
0.0000 0.0000 16.5079

---

No. 2
! PBE-GGA LiRe2Pt, relaxed; values from VASP
! * calculated total energy: -0.3017 hartree per atom
! * ΔE_f: 2 meV per atom
! * symmetry: P4mm, No. 99
&SYSTEM
  ibrav = 0, nat = 4, ntyp = 3
/
ATOMIC_SPECIES
Re 186.21 Re.upf
Li 6.94 Li.upf
Pt 195.08 Pt.upf
ATOMIC_POSITIONS crystal
Re 0.0000 0.0000 0.0228
Re 0.5000 0.5000 0.2569
Li 0.0000 0.0000 0.5050
Pt 0.5000 0.5000 0.7153
CELL_PARAMETERS angstrom
3.0497 0.0000 0.0000
0.0000 3.0497 0.0000
0.0000 0.0000 6.0589

---

No. 3
! PBE-GGA Na2LiBrO4, relaxed; values from VASP
! * calculated total energy: -0.1503 hartree per atom
! * uncorrected formation energy: -644 kJ/mol of formula units
! * symmetry: I-4, No. 82
&SYSTEM
  ibrav = 0, nat = 8, ntyp = 4
/
ATOMIC_SPECIES
O 16.00 O.upf
Na 22.99 Na.upf
Li 6.94 Li.upf
Br 79.90 Br.upf
ATOMIC_POSITIONS crystal
O 0.9520 0.5650 0.1405
O 0.5755 0.3870 0.4350
O 0.4245 0.8595 0.8115
O 0.0480 0.1885 0.6130
Na 0.0000 0.0000 0.0000
Na 0.5000 0.7500 0.2500
Li 0.5000 0.2500 0.7500
Br 0.0000 0.5000 0.5000
CELL_PARAMETERS angstrom
-2.5212 -1.9621 4.4608
-0.9566 -2.0958 -4.9797
5.3362 -0.9059 -0.8997